# 1
## BeAg2OsF (PBE)

Data for crystalline BeAg2OsF at its relaxed geometry.

Unit cell a=5.139 b=4.121 c=5.139 alpha=90.00 beta=90.00 gamma=90.00
Each line ends with the local moment (μB).
Fractional coordinates of all 5 atoms:
Be: 0.000 0.500 0.000  -0.02
Os: 0.000 0.000 0.000  0.50
Ag: 0.000 0.000 0.500  0.07
Ag: 0.500 0.000 0.000  0.01
F: 0.500 0.500 0.500  -0.01

Computed properties:
**Total energy**: -3.359 eV/atom
**Total magnetization**: 0.560 μB/cell

# 2
## BeAg2PbF6 (PBE)

Data for crystalline BeAg2PbF6 at its relaxed geometry.

Unit cell a=5.887 b=5.878 c=5.714 alpha=58.73 beta=58.97 gamma=59.94
Fractional coordinates of all 10 atoms:
Be: 0.316 0.316 0.052
Ag: 0.560 0.562 0.319
Ag: 0.072 0.070 0.784
Pb: 0.816 0.816 0.552
F: 0.505 0.213 0.277
F: 0.207 0.011 0.282
F: 0.008 0.512 0.270
F: 0.425 0.622 0.821
F: 0.625 0.120 0.833
F: 0.128 0.420 0.825

Computed properties:
**Total energy**: -4.380 eV/atom
**Total magnetization**: 0.000 μB/cell

# 3
## Be2AgPtF (PBE)

Data for crystalline Be2AgPtF at its relaxed geometry.

Unit cell a=4.316 b=4.316 c=4.341 alpha=90.00 beta=90.00 gamma=90.00
Fractional coordinates of all 5 atoms:
Be: 0.000 0.500 0.000
Be: 0.500 0.000 0.000
Ag: 0.500 0.500 0.500
Pt: 0.000 0.000 0.000
F: 0.000 0.000 0.500

Computed properties:
**Total energy**: -3.503 eV/atom
**Total magnetization**: 0.000 μB/cell

# 4
## Rb2BeAgF6 (PBE)

Data for crystalline Rb2BeAgF6 at its relaxed geometry.

Unit cell a=5.803 b=5.803 c=6.052 alpha=61.35 beta=61.35 gamma=90.00
Each line ends with the local moment (μB).
Fractional coordinates of all 10 atoms:
Be: 0.500 0.500 0.000  0.01
Rb: 0.750 0.250 0.500  0.00
Rb: 0.250 0.750 0.500  0.00
Ag: 0.000 0.000 0.000  0.53
F: 0.233 0.233 0.534  0.13
F: 0.767 0.767 0.466  0.13
F: 0.295 0.295 0.000  0.04
F: 0.705 0.705 0.000  0.04
F: 0.705 0.295 0.000  0.04
F: 0.295 0.705 0.000  0.04

Computed properties:
**Total energy**: -4.303 eV/atom
**Total magnetization**: 1.000 μB/cell

# 5
## RbBe2Ag2F7 (PBE)

Data for crystalline RbBe2Ag2F7 at its relaxed geometry.

Unit cell a=5.361 b=5.361 c=8.587 alpha=71.81 beta=71.81 gamma=60.00
Fractional coordinates of all 12 atoms:
Rb: 0.500 0.500 0.500
Be: 0.933 0.933 0.200
Be: 0.067 0.067 0.800
Ag: 0.691 0.691 0.926
Ag: 0.309 0.309 0.074
F: 0.191 0.927 0.249
F: 0.633 0.191 0.249
F: 0.927 0.633 0.249
F: 0.367 0.073 0.751
F: 0.809 0.367 0.751
F: 0.000 0.000 0.000
F: 0.073 0.809 0.751

Computed properties:
**Total energy**: -4.682 eV/atom
**Total magnetization**: 0.000 μB/cell

# 6
## RbBeAgF4 (PBE)

Data for crystalline RbBeAgF4 at its relaxed geometry.

Unit cell a=5.150 b=5.644 c=8.291 alpha=90.00 beta=115.68 gamma=90.00
Fractional coordinates of all 14 atoms:
Rb: 0.592 0.750 0.881
Rb: 0.408 0.250 0.119
Be: 0.174 0.750 0.289
Be: 0.826 0.250 0.711
Ag: 0.836 0.750 0.516
Ag: 0.164 0.250 0.484
F: 0.013 0.479 0.781
F: 0.987 0.979 0.219
F: 0.987 0.521 0.219
F: 0.013 0.021 0.781
F: 0.425 0.750 0.230
F: 0.575 0.250 0.770
F: 0.310 0.750 0.502
F: 0.690 0.250 0.498

Computed properties:
**Total energy**: -4.670 eV/atom
**Total magnetization**: 0.000 μB/cell

# 7
## RbBeAgF2 (PBE)

Data for crystalline RbBeAgF2 at its relaxed geometry.

Unit cell a=4.990 b=5.521 c=4.990 alpha=90.00 beta=90.00 gamma=90.00
Fractional coordinates of all 5 atoms:
Be: 0.000 0.500 0.000
Rb: 0.000 0.000 0.000
Ag: 0.500 0.500 0.500
F: 0.000 0.000 0.500
F: 0.500 0.000 0.000

Computed properties:
**Total energy**: -2.377 eV/atom
**Total magnetization**: 0.000 μB/cell

# 8
## BeAgSeF2 (PBE)

Data for crystalline BeAgSeF2 at its relaxed geometry.

Unit cell a=4.080 b=5.545 c=4.080 alpha=90.00 beta=90.00 gamma=90.00
Fractional coordinates of all 5 atoms:
Be: 0.500 0.500 0.500
Se: 0.000 0.000 0.000
Ag: 0.000 0.500 0.000
F: 0.000 0.000 0.500
F: 0.500 0.000 0.000

Computed properties:
**Total energy**: -2.850 eV/atom
**Total magnetization**: 0.000 μB/cell

# 9
## BeAgSn2F (PBE)

Data for crystalline BeAgSn2F at its relaxed geometry.

Unit cell a=5.417 b=4.170 c=5.417 alpha=90.00 beta=90.00 gamma=90.00
Fractional coordinates of all 5 atoms:
Be: 0.500 0.500 0.500
Sn: 0.000 0.000 0.500
Sn: 0.500 0.000 0.000
Ag: 0.000 0.000 0.000
F: 0.000 0.500 0.000

Computed properties:
**Total energy**: -2.946 eV/atom
**Total magnetization**: 0.000 μB/cell

# 10
## SrBeAgF5 (PBE)

Data for crystalline SrBeAgF5 at its relaxed geometry.

Unit cell a=6.123 b=6.123 c=7.047 alpha=97.54 beta=97.54 gamma=110.09
Fractional coordinates of all 16 atoms:
Sr: 0.367 0.633 0.250
Sr: 0.633 0.367 0.750
Be: 0.700 0.300 0.250
Be: 0.300 0.700 0.750
Ag: 0.000 0.000 0.500
Ag: 0.000 0.000 0.000
F: 0.129 0.871 0.250
F: 0.871 0.129 0.750
F: 0.945 0.366 0.185
F: 0.055 0.634 0.815
F: 0.634 0.055 0.315
F: 0.366 0.945 0.685
F: 0.694 0.490 0.423
F: 0.306 0.510 0.577
F: 0.510 0.306 0.077
F: 0.490 0.694 0.923

Computed properties:
**Total energy**: -5.128 eV/atom
**Total magnetization**: 0.000 μB/cell

# 11
## BeTcAg2F (PBE)

Data for crystalline BeTcAg2F at its relaxed geometry.

Unit cell a=4.443 b=4.356 c=4.443 alpha=90.00 beta=90.00 gamma=90.00
Each line ends with the local moment (μB).
Fractional coordinates of all 5 atoms:
Be: 0.000 0.000 0.000  -0.09
Tc: 0.000 0.500 0.000  2.46
Ag: 0.000 0.000 0.500  0.01
Ag: 0.500 0.000 0.000  -0.03
F: 0.500 0.500 0.500  0.08

Computed properties:
**Total energy**: -3.823 eV/atom
**Total magnetization**: 2.786 μB/cell

# 12
## TiBeAg2F (PBE)

Data for crystalline TiBeAg2F at its relaxed geometry.

Unit cell a=5.205 b=3.754 c=5.205 alpha=90.00 beta=90.00 gamma=90.00
Fractional coordinates of all 5 atoms:
Be: 0.500 0.500 0.500
F: 0.000 0.500 0.000
Ag: 0.000 0.000 0.500
Ag: 0.500 0.000 0.000
Ti: 0.000 0.000 0.000

Computed properties:
**Total energy**: -3.659 eV/atom
**Total magnetization**: 0.000 μB/cell

# 13
## BeTlAg2F4 (PBE)

Data for crystalline BeTlAg2F4 at its relaxed geometry.

Unit cell a=5.361 b=5.361 c=5.839 alpha=105.97 beta=105.97 gamma=113.61
Fractional coordinates of all 8 atoms:
Be: 0.476 0.476 0.952
Tl: 0.110 0.110 0.221
Ag: 0.758 0.258 0.515
Ag: 0.258 0.758 0.515
F: 0.611 0.611 0.776
F: 0.418 0.705 0.123
F: 0.705 0.418 0.123
F: 0.165 0.165 0.776

Computed properties:
**Total energy**: -4.107 eV/atom
**Total magnetization**: 0.000 μB/cell

# 14
## BeTlAgF4 (PBE)

Data for crystalline BeTlAgF4 at its relaxed geometry.

Unit cell a=5.181 b=5.641 c=8.416 alpha=90.00 beta=117.16 gamma=90.00
Fractional coordinates of all 14 atoms:
Be: 0.219 0.750 0.290
Be: 0.781 0.250 0.710
Tl: 0.602 0.750 0.885
Tl: 0.398 0.250 0.115
Ag: 0.892 0.750 0.547
Ag: 0.108 0.250 0.453
F: 0.965 0.479 0.796
F: 0.035 0.979 0.204
F: 0.035 0.521 0.204
F: 0.965 0.021 0.796
F: 0.494 0.750 0.258
F: 0.506 0.250 0.742
F: 0.316 0.750 0.497
F: 0.684 0.250 0.503

Computed properties:
**Total energy**: -4.570 eV/atom
**Total magnetization**: 0.000 μB/cell

# 15
## ZrBeAgF2 (PBE)

Data for crystalline ZrBeAgF2 at its relaxed geometry.

Unit cell a=4.079 b=5.848 c=4.079 alpha=90.00 beta=90.00 gamma=90.00
Each line ends with the local moment (μB).
Fractional coordinates of all 5 atoms:
Be: 0.500 0.500 0.500  0.00
Zr: 0.000 0.000 0.000  0.26
Ag: 0.000 0.500 0.000  0.01
F: 0.000 0.000 0.500  0.00
F: 0.500 0.000 0.000  0.00

Computed properties:
**Total energy**: -4.878 eV/atom
**Total magnetization**: 0.377 μB/cell

# 16
## Be3FeAg (PBE)

Data for crystalline Be3FeAg at its relaxed geometry.

Unit cell a=4.212 b=4.212 c=4.212 alpha=90.00 beta=90.00 gamma=90.00
Each line ends with the local moment (μB).
Fractional coordinates of all 5 atoms:
Be: 0.000 0.500 0.000  -0.01
Be: 0.000 0.000 0.500  -0.02
Be: 0.500 0.000 0.000  -0.02
Fe: 0.500 0.500 0.500  3.07
Ag: 0.000 0.000 0.000  0.01

Computed properties:
**ΔE_f**: 110.16 kJ/mol of atoms
**Total energy**: -3.357 eV/atom
**Energy above the most stable polymorph in this dataset**: 39.7 kJ/mol of atoms
**Total magnetization**: 2.966 μB/cell

# 17
## BeFeAg3 (PBE)

Data for crystalline BeFeAg3 at its relaxed geometry.

Unit cell a=4.374 b=4.374 c=4.374 alpha=90.00 beta=90.00 gamma=90.00
Each line ends with the local moment (μB).
Fractional coordinates of all 5 atoms:
Be: 0.000 0.000 0.000  0.01
Fe: 0.500 0.500 0.500  3.18
Ag: 0.000 0.500 0.000  -0.03
Ag: 0.000 0.000 0.500  -0.01
Ag: 0.500 0.000 0.000  -0.03

Computed properties:
**ΔE_f**: 66.42 kJ/mol of atoms
**Total energy**: -3.460 eV/atom
**Energy above the most stable polymorph in this dataset**: 0.0 kJ/mol of atoms
**Total magnetization**: 3.094 μB/cell

# 18
## BeFeAg3 (PBE)

Data for crystalline BeFeAg3 at its relaxed geometry.

Unit cell a=4.825 b=4.825 c=4.825 alpha=90.00 beta=90.00 gamma=90.00
Each line ends with the local moment (μB).
Fractional coordinates of all 5 atoms:
Be: 0.500 0.500 0.500  0.06
Fe: 0.000 0.000 0.000  2.86
Ag: 0.000 0.500 0.000  0.06
Ag: 0.000 0.000 0.500  0.10
Ag: 0.500 0.000 0.000  0.03

Computed properties:
**ΔE_f**: 131.36 kJ/mol of atoms
**Total energy**: -2.787 eV/atom
**Energy above the most stable polymorph in this dataset**: 64.9 kJ/mol of atoms
**Total magnetization**: 3.254 μB/cell

# 19
## Be4FeAg (PBE)

Data for crystalline Be4FeAg at its relaxed geometry.

Unit cell a=4.375 b=4.375 c=4.375 alpha=60.00 beta=60.00 gamma=60.00
Each line ends with the local moment (μB).
Fractional coordinates of all 6 atoms:
Be: 0.869 0.377 0.377  -0.02
Be: 0.377 0.377 0.869  -0.02
Be: 0.377 0.869 0.377  -0.02
Be: 0.377 0.377 0.377  -0.02
Fe: 0.750 0.750 0.750  2.11
Ag: 0.000 0.000 0.000  0.05

Computed properties:
**ΔE_f**: 2.45 kJ/mol of atoms
**Total energy**: -4.344 eV/atom
**Total magnetization**: 2.115 μB/cell

# 20
## Be3FeAg (PBE)

Data for crystalline Be3FeAg at its relaxed geometry.

Unit cell a=3.966 b=3.966 c=3.966 alpha=90.00 beta=90.00 gamma=90.00
Fractional coordinates of all 5 atoms:
Be: 0.000 0.500 0.000
Be: 0.000 0.000 0.500
Be: 0.500 0.000 0.000
Fe: 0.000 0.000 0.000
Ag: 0.500 0.500 0.500

Computed properties:
**ΔE_f**: 70.47 kJ/mol of atoms
**Total energy**: -3.768 eV/atom
**Energy above the most stable polymorph in this dataset**: 0.0 kJ/mol of atoms
**Total magnetization**: 0.000 μB/cell

Record order is preserved below.
Density of states at the Fermi level: 4.265, 0.000, 0.924, 0.012, 0.000, 0.000, 0.066, 1.948, 3.165, 0.000, 1.919, 4.779, 4.026, 0.000, 3.082, 3.324, 5.812, 2.531, 2.659, 3.343 states/eV/cell